Record 1
# Tc2PtW GGA-PBEsol optimized geometry
# - Uncorrected energy: -10.734 eV/atom
# - Energy relative to the lowest polymorph listed for this composition: 0.2665 eV/atom
data_Tc2PtW
_chemical_formula_sum 'Tc6 Pt3 W3'
_symmetry_space_group_name_H-M 'R -3 m'
_symmetry_Int_Tables_number 166
_symmetry_space_group_name_Hall '-R 3 2"'
_cell_length_a 2.7438
_cell_length_b 2.7438
_cell_length_c 27.0563
_cell_angle_alpha 90.00
_cell_angle_beta 90.00
_cell_angle_gamma 120.00
loop_
_atom_site_label
_atom_site_type_symbol
_atom_site_fract_x
_atom_site_fract_y
_atom_site_fract_z
_atom_site_occupancy
Tc1 Tc 0.0000 0.0000 0.2494 1
Pt1 Pt 0.0000 0.0000 0.0000 1
W1 W 0.0000 0.0000 0.5000 1

---

Record 2
# Zr2CdIr GGA-PBEsol optimized geometry
# - Uncorrected energy: -7.346 eV/atom
data_Zr2CdIr
_chemical_formula_sum 'Zr6 Cd3 Ir3'
_symmetry_space_group_name_H-M 'R 3 m'
_symmetry_Int_Tables_number 160
_symmetry_space_group_name_Hall 'R 3 -2"'
_cell_length_a 3.1401
_cell_length_b 3.1401
_cell_length_c 27.6757
_cell_angle_alpha 90.00
_cell_angle_beta 90.00
_cell_angle_gamma 120.00
loop_
_atom_site_label
_atom_site_type_symbol
_atom_site_fract_x
_atom_site_fract_y
_atom_site_fract_z
_atom_site_occupancy
Zr1 Zr 0.0000 0.0000 0.0000 1
Zr2 Zr 0.0000 0.0000 0.2424 1
Cd1 Cd 0.0000 0.0000 0.7583 1
Ir1 Ir 0.0000 0.0000 0.5052 1

---

Record 3
# TaCr2Co GGA-PBEsol optimized geometry
# - Uncorrected energy: -10.076 eV/atom
# - Energy relative to the lowest polymorph listed for this composition: 0.0613 eV/atom
data_TaCr2Co
_chemical_formula_sum 'Ta2 Cr4 Co2'
_symmetry_space_group_name_H-M 'I m m 2'
_symmetry_Int_Tables_number 44
_cell_length_a 2.9944
_cell_length_b 4.1837
_cell_length_c 8.0708
_cell_angle_alpha 90.00
_cell_angle_beta 90.00
_cell_angle_gamma 90.00
loop_
_symmetry_equiv_pos_as_xyz
'x,y,z'
'-x,-y,z'
'-x,y,z'
'x,-y,z'
'x+1/2,y+1/2,z+1/2'
'-x+1/2,-y+1/2,z+1/2'
'-x+1/2,y+1/2,z+1/2'
'x+1/2,-y+1/2,z+1/2'
loop_
_atom_site_label
_atom_site_type_symbol
_atom_site_fract_x
_atom_site_fract_y
_atom_site_fract_z
_atom_site_occupancy
Ta1 Ta 0.0000 0.0000 0.0000 1
Cr1 Cr 0.0000 0.0000 0.5145 1
Cr2 Cr 0.0000 0.5000 0.2382 1
Co1 Co 0.0000 0.5000 0.7610 1

---

Record 4
# NiMoBr GGA-PBEsol optimized geometry
# - E_form (uncorrected): 1029 meV per atom
# - Uncorrected energy: -5.570 eV/atom
# - Energy relative to the lowest polymorph listed for this composition: 0.2263 eV/atom
data_NiMoBr
_chemical_formula_sum 'Ni4 Mo4 Br4'
_symmetry_space_group_name_H-M 'F -4 3 m'
_symmetry_Int_Tables_number 216
_symmetry_space_group_name_Hall 'F -4 2 3'
_cell_length_a 5.7132
_cell_length_b 5.7132
_cell_length_c 5.7132
_cell_angle_alpha 90.00
_cell_angle_beta 90.00
_cell_angle_gamma 90.00
loop_
_atom_site_label
_atom_site_type_symbol
_atom_site_fract_x
_atom_site_fract_y
_atom_site_fract_z
_atom_site_occupancy
Ni1 Ni 0.0000 0.0000 0.0000 1
Mo1 Mo 0.0000 0.0000 0.5000 1
Br1 Br 0.2500 0.2500 0.7500 1

---

Record 5
# MnH4C2O6 GGA-PBEsol optimized geometry
# - Uncorrected energy: -6.801 eV/atom
data_MnH4C2O6
_chemical_formula_sum 'Mn4 H16 C8 O24'
_symmetry_space_group_name_H-M 'C 1 2/c 1'
_symmetry_Int_Tables_number 15
_cell_length_a 12.5571
_cell_length_b 5.6978
_cell_length_c 9.6881
_cell_angle_alpha 90.00
_cell_angle_beta 129.33
_cell_angle_gamma 90.00
loop_
_symmetry_equiv_pos_as_xyz
'x,y,z'
'-x,-y,-z'
'-x,y,-z+1/2'
'x,-y,z+1/2'
'x+1/2,y+1/2,z'
'-x+1/2,-y+1/2,-z'
'-x+1/2,y+1/2,-z+1/2'
'x+1/2,-y+1/2,z+1/2'
loop_
_atom_site_label
_atom_site_type_symbol
_atom_site_fract_x
_atom_site_fract_y
_atom_site_fract_z
_atom_site_occupancy
Mn1 Mn 0.0000 0.0913 0.2500 1
H1 H 0.1541 0.1541 0.1406 1
H2 H 0.2381 0.3969 0.6434 1
C1 C 0.0520 0.4080 0.8534 1
O1 O 0.0898 0.3943 0.4305 1
O2 O 0.0915 0.2104 0.9296 1
O3 O 0.1653 0.0836 0.2435 1

---

Record 6
# TiTl2CdSe GGA-PBEsol optimized geometry
# - E_form (uncorrected): 849 meV per atom
# - Uncorrected energy: -2.877 eV/atom
data_TiTl2CdSe
_chemical_formula_sum 'Ti1 Tl2 Cd1 Se1'
_symmetry_space_group_name_H-M 'P 4/m m m'
_symmetry_Int_Tables_number 123
_symmetry_space_group_name_Hall '-P 4 2'
_cell_length_a 5.7217
_cell_length_b 5.7217
_cell_length_c 4.9712
_cell_angle_alpha 90.00
_cell_angle_beta 90.00
_cell_angle_gamma 90.00
loop_
_atom_site_label
_atom_site_type_symbol
_atom_site_fract_x
_atom_site_fract_y
_atom_site_fract_z
_atom_site_occupancy
Ti1 Ti 0.0000 0.0000 0.0000 1
Tl1 Tl 0.0000 0.5000 0.5000 1
Cd1 Cd 0.5000 0.5000 0.0000 1
Se1 Se 0.5000 0.5000 0.5000 1

---

Record 7
# Ta2TeRh GGA-PBEsol optimized geometry
# - E_form (uncorrected): -16 meV per atom
# - Uncorrected energy: -9.207 eV/atom
data_Ta2TeRh
_chemical_formula_sum 'Ta4 Te2 Rh2'
_symmetry_space_group_name_H-M 'I m m 2'
_symmetry_Int_Tables_number 44
_cell_length_a 3.3463
_cell_length_b 4.5781
_cell_length_c 8.9959
_cell_angle_alpha 90.00
_cell_angle_beta 90.00
_cell_angle_gamma 90.00
loop_
_symmetry_equiv_pos_as_xyz
'x,y,z'
'-x,-y,z'
'-x,y,z'
'x,-y,z'
'x+1/2,y+1/2,z+1/2'
'-x+1/2,-y+1/2,z+1/2'
'-x+1/2,y+1/2,z+1/2'
'x+1/2,-y+1/2,z+1/2'
loop_
_atom_site_label
_atom_site_type_symbol
_atom_site_fract_x
_atom_site_fract_y
_atom_site_fract_z
_atom_site_occupancy
Ta1 Ta 0.0000 0.0000 0.0000 1
Ta2 Ta 0.0000 0.5000 0.2308 1
Te1 Te 0.0000 0.5000 0.7545 1
Rh1 Rh 0.0000 0.0000 0.4826 1

---

Record 8
# Li2ZnMo GGA-PBEsol optimized geometry
# - Uncorrected energy: -3.978 eV/atom
data_Li2ZnMo
_chemical_formula_sum 'Li2 Zn1 Mo1'
_symmetry_space_group_name_H-M 'P m m m'
_symmetry_Int_Tables_number 47
_cell_length_a 2.5117
_cell_length_b 4.2386
_cell_length_c 5.3357
_cell_angle_alpha 90.00
_cell_angle_beta 90.00
_cell_angle_gamma 90.00
loop_
_symmetry_equiv_pos_as_xyz
'x,y,z'
'-x,-y,-z'
'-x,-y,z'
'x,y,-z'
'x,-y,-z'
'-x,y,z'
'-x,y,-z'
'x,-y,z'
loop_
_atom_site_label
_atom_site_type_symbol
_atom_site_fract_x
_atom_site_fract_y
_atom_site_fract_z
_atom_site_occupancy
Li1 Li 0.0000 0.0000 0.2464 1
Zn1 Zn 0.5000 0.5000 0.0000 1
Mo1 Mo 0.5000 0.5000 0.5000 1